InAg3 after structural relaxation. Source: the Alexandria database, functional PBEsol.

Geometry as extended XYZ:
```
4
Lattice="3.000 0.000 0.000 -1.500 2.598 0.000 0.000 0.000 9.241" Properties=species:S:1:pos:R:3 pbc="T T T"
Ag 0.000 0.000 2.254
In 0.000 1.732 4.620
Ag 0.000 1.732 0.000
Ag 0.000 0.000 6.987
```

Calculated values
* formation energy from the elements: 28 meV/atom
* N(E_F): 1.265 states/eV per cell
* E: -3.201 eV per atom

MoPRh after structural relaxation. Source: the Alexandria database, functional PBEsol.

Geometry as extended XYZ:
```
12
Lattice="3.891 0.000 0.000 0.000 5.885 0.000 0.000 0.000 6.963" Properties=species:S:1:pos:R:3 pbc="T T T"
Mo 0.973 0.186 1.159
P 0.973 1.456 6.164
Mo 0.973 3.129 2.322
Mo 2.919 2.756 4.640
Rh 0.973 0.813 3.985
P 0.973 4.399 4.280
Rh 0.973 3.756 6.459
P 2.919 4.429 0.798
P 2.919 1.486 2.683
Rh 2.919 2.130 0.504
Rh 2.919 5.072 2.978
Mo 2.919 5.699 5.804
```

Calculated values
* formation energy from the elements: -680 meV/atom
* N(E_F): 3.918 states/eV per cell
* E: -9.246 eV per atom

ReW2Au after structural relaxation. Source: the Alexandria database, functional PBEsol.

Geometry as extended XYZ:
```
4
Lattice="-0.458 -1.266 2.502 4.249 -1.622 -1.657 1.452 3.985 2.282" Properties=species:S:1:pos:R:3 pbc="T T T"
W 2.908 1.231 2.768
W 2.335 -0.135 0.359
Au 0.726 1.992 1.141
Re -0.229 -0.633 1.251
```

Calculated values
* formation energy from the elements: 352 meV/atom
* N(E_F): 2.885 states/eV per cell
* E: -10.866 eV per atom

InCuTe2 after structural relaxation. Source: the Alexandria database, functional PBEsol.

Geometry as extended XYZ:
```
8
Lattice="6.178 0.000 0.000 0.000 6.178 0.000 -3.089 -3.089 6.190" Properties=species:S:1:pos:R:3 pbc="T T T"
Cu 3.089 3.089 0.000
Te 1.774 4.634 1.548
Te 1.545 1.315 4.643
Te 4.404 1.545 1.548
Cu 3.089 0.000 3.095
In 0.000 3.089 3.095
Te -1.545 -1.315 4.643
In 0.000 0.000 0.000
```

Calculated values
* N(E_F): 0.425 states/eV per cell
* E: -3.814 eV per atom
* formation energy without anion corrections: -0.2215 eV per atom